[1]
A relaxed structure of Rb2SnHgSb, computed with PBE.

Lattice parameters (Å, degrees): 10.5023 4.5327 10.9487 90.00 116.01 90.00
Space group P2_1/m (No. 11)
Inequivalent atoms, fractional coordinates:
Rb 0.1158 0.2500 0.3959 x2
Rb 0.3833 0.7500 0.1204 x2
Sn 0.2230 0.2500 0.8153 x2
Hg 0.0057 0.7500 0.0929 x2
Sb 0.2937 0.7500 0.6926 x2

Summary:
Its formation energy from raw total energies is -0.2768 eV/atom. The calculation puts the uncorrected energy at -0.086 Ha/atom. The magnetic moment comes out at 0.00 μB/atom.

---

[2]
A relaxed structure of LiCa3Bi, computed with PBE.

Lattice parameters (Å, degrees): 6.0942 6.0942 6.0942 90.00 90.00 90.00
Space group Pm-3m (No. 221)
Inequivalent atoms, fractional coordinates:
Li 0.0000 0.0000 0.0000 x1
Ca 0.0000 0.5000 0.5000 x3
Bi 0.5000 0.5000 0.5000 x1

Summary:
The calculation puts the uncorrected energy at -0.092 Ha/atom. The magnetic moment comes out at 0.00 μB/atom. Its energy relative to the lowest polymorph listed for this composition is 0.000 eV per atom.

---

[3]
A relaxed structure of ReW3Cl, computed with PBE.

Lattice parameters (Å, degrees): 4.8313 4.8313 4.8313 90.00 90.00 90.00
Space group Pm-3m (No. 221)
Inequivalent atoms, fractional coordinates:
Re 0.0000 0.0000 0.0000 x1
W 0.0000 0.0000 0.5000 x3
Cl 0.5000 0.5000 0.5000 x1

Summary:
Its formation energy from raw total energies is 2.3000 eV/atom. The calculation puts the uncorrected energy at -0.306 Ha/atom. The magnetic moment comes out at 0.00 μB/atom. Its energy relative to the lowest polymorph listed for this composition is 0.652 eV per atom.

---

[4]
A relaxed structure of PrYSiHg, computed with PBE.

Lattice parameters (Å, degrees): 7.3879 7.3879 7.3879 90.00 90.00 90.00
Space group F-43m (No. 216)
Inequivalent atoms, fractional coordinates:
Pr 0.0000 0.0000 0.0000 x4
Y 0.0000 0.0000 0.5000 x4
Si 0.2500 0.2500 0.7500 x4
Hg 0.2500 0.2500 0.2500 x4

Summary:
Its formation energy from raw total energies is -0.4664 eV/atom. The calculation puts the uncorrected energy at -0.173 Ha/atom. The magnetic moment comes out at 0.00 μB/atom.

---

[5]
A relaxed structure of VSnOs3, computed with PBE.

Lattice parameters (Å, degrees): 4.7849 4.7849 4.7849 90.00 90.00 90.00
Space group Pm-3m (No. 221)
Inequivalent atoms, fractional coordinates:
V 0.0000 0.0000 0.0000 x1
Sn 0.5000 0.5000 0.5000 x1
Os 0.0000 0.5000 0.5000 x3

Summary:
The calculation puts the uncorrected energy at -0.248 Ha/atom. The magnetic moment comes out at 0.08 μB/atom. Its energy relative to the lowest polymorph listed for this composition is 1.098 eV per atom.

---

[6]
A relaxed structure of Tb2PrNd6Er3, computed with PBE.

Lattice parameters (Å, degrees): 6.2866 10.8879 11.9097 90.00 100.10 90.00
Space group C2/m (No. 12)
Inequivalent atoms, fractional coordinates:
Tb 0.0000 0.1666 0.0000 x4
Pr 0.0000 0.5000 0.0000 x2
Nd 0.2483 0.1671 0.7469 x8
Nd 0.2494 0.5000 0.7470 x4
Er 0.0000 0.0000 0.5000 x2
Er 0.0000 0.3332 0.5000 x4

Summary:
The calculation puts the uncorrected energy at -0.172 Ha/atom. The magnetic moment comes out at 0.00 μB/atom.

---

[7]
A relaxed structure of CuReW2, computed with PBE.

Lattice parameters (Å, degrees): 6.2259 6.2259 6.2259 90.00 90.00 90.00
Space group F-43m (No. 216)
Inequivalent atoms, fractional coordinates:
Cu 0.0000 0.0000 0.0000 x4
Re 0.2500 0.2500 0.2500 x4
W 0.0000 0.0000 0.5000 x4
W 0.2500 0.2500 0.7500 x4

Summary:
The calculation puts the uncorrected energy at -0.376 Ha/atom. The magnetic moment comes out at 0.00 μB/atom. Its energy relative to the lowest polymorph listed for this composition is 0.149 eV per atom.

---

[8]
A relaxed structure of ZrTi2Hg2, computed with PBE.

Lattice parameters (Å, degrees): 7.8734 7.8734 3.2792 90.00 90.00 90.00
Space group P4/mbm (No. 127)
Inequivalent atoms, fractional coordinates:
Zr 0.0000 0.0000 0.0000 x2
Ti 0.1714 0.3286 0.5000 x4
Hg 0.1302 0.6302 0.0000 x4

Summary:
The calculation puts the uncorrected energy at -0.180 Ha/atom. The magnetic moment comes out at 0.31 μB/atom. Its energy relative to the lowest polymorph listed for this composition is 0.104 eV per atom.